First-principles (GGA-PBE) data for an optimized crystal structure of Sc2TlAs, as listed in the Alexandria database.

Calculated values
Crystal system: monoclinic
SG: No. 8
Energy of formation in eV/atom: -0.560
D(E_F) in states/eV/atom: 0.65
Raw total energy in eV/atom: -5.480

Unit cell a=11.442 b=3.707 c=4.436 alpha=90.00 beta=109.08 gamma=90.00
Fractional coordinates of all 8 atoms:
Sc (0.000, 0.000, 0.000)
Sc (0.231, 0.000, 0.698)
Sc (0.500, 0.500, 0.000)
Sc (0.731, 0.500, 0.698)
Tl (0.451, 0.000, 0.455)
Tl (0.951, 0.500, 0.455)
As (0.204, 0.500, 0.146)
As (0.704, 0.000, 0.146)